(1)
Density functional theory data (SCAN) for Ni2IrAu at its PBEsol-relaxed geometry.

The space group is P4/mmm (No. 123) and the conventional cell measures 2.692, 2.692 and 7.161 Å, with angles of 90.00, 90.00 and 90.00 degrees. The inequivalent atoms are Ni at (0.000, 0.000, 0.235), Ir at (0.500, 0.500, 0.000) and Au at (0.500, 0.500, 0.500).

The calculation puts the energy at -43.088 eV per atom. As for the energy of formation: 0.2 eV/f.u. The calculation puts the energy above the most stable polymorph in this dataset at 0.0 kJ/mol of formula units. For the total magnetic moment, the calculation gives 1.50 μB per cell.


(2)
Density functional theory data (SCAN) for Mg3FeAg at its PBEsol-relaxed geometry.

The space group is Pm-3m (No. 221) and the conventional cell measures 4.789, 4.789 and 4.789 Å, with angles of 90.00, 90.00 and 90.00 degrees. The inequivalent atoms are Mg at (0.000, 0.000, 0.500), Fe at (0.000, 0.000, 0.000) and Ag at (0.500, 0.500, 0.500).

The calculation puts the energy at -12.235 eV per atom. As for the energy of formation: 3.2 eV/f.u. For the total magnetic moment, the calculation gives 2.33 μB per cell.


(3)
Density functional theory data (SCAN) for V2MoO8 at its PBEsol-relaxed geometry.

The space group is Cm (No. 8) and the conventional cell measures 18.971, 3.646 and 4.096 Å, with angles of 90.00, 90.22 and 90.00 degrees. The inequivalent atoms are V at (0.000, 0.000, 0.000), V at (0.121, 0.500, 0.796), Mo at (0.310, 0.500, 0.980), O at (0.000, 0.000, 0.389), O at (0.020, 0.500, 0.905), O at (0.102, 0.000, 0.889), O at (0.123, 0.500, 0.407), O at (0.212, 0.500, 0.899), O at (0.310, 0.500, 0.394), O at (0.311, 0.000, 0.887) and O at (0.409, 0.500, 0.906).

The calculation puts the energy at -13.191 eV per atom. For the total magnetic moment, the calculation gives 0.00 μB per cell. The uncorrected formation energy is -2308 meV per atom.


(4)
Density functional theory data (SCAN) for Rb2InAgBr6 at its PBEsol-relaxed geometry.

The space group is Fm-3m (No. 225) and the conventional cell measures 10.844, 10.844 and 10.844 Å, with angles of 90.00, 90.00 and 90.00 degrees. The inequivalent atoms are Rb at (0.250, 0.250, 0.250), In at (0.000, 0.000, 0.000), Ag at (0.000, 0.000, 0.500) and Br at (0.000, 0.000, 0.247).

The calculation puts the energy at -23.549 eV per atom. For the total magnetic moment, the calculation gives 0.00 μB per cell. The uncorrected formation energy is -1250 meV per atom.


(5)
Density functional theory data (SCAN) for RbY2ZnIn at its PBEsol-relaxed geometry.

The space group is P4/mmm (No. 123) and the conventional cell measures 5.847, 5.847 and 5.119 Å, with angles of 90.00, 90.00 and 90.00 degrees. The inequivalent atoms are Rb at (0.000, 0.000, 0.000), Y at (0.000, 0.500, 0.500), Zn at (0.500, 0.500, 0.000) and In at (0.500, 0.500, 0.500).

The calculation puts the energy at -24.271 eV per atom. As for the energy of formation: 2.0 eV/f.u. For the total magnetic moment, the calculation gives 1.30 μB per cell.


(6)
Density functional theory data (SCAN) for KCa2PIr at its PBEsol-relaxed geometry.

The space group is P4/mmm (No. 123) and the conventional cell measures 5.335, 5.335 and 5.646 Å, with angles of 90.00, 90.00 and 90.00 degrees. The inequivalent atoms are K at (0.000, 0.000, 0.000), Ca at (0.000, 0.500, 0.500), P at (0.000, 0.000, 0.500) and Ir at (0.500, 0.500, 0.000).

The calculation puts the energy at -21.567 eV per atom. As for the energy of formation: 1.3 eV/f.u. For the total magnetic moment, the calculation gives 1.04 μB per cell.


(7)
Density functional theory data (SCAN) for RbCdSbCl2 at its PBEsol-relaxed geometry.

The space group is P4/mmm (No. 123) and the conventional cell measures 5.414, 5.414 and 6.911 Å, with angles of 90.00, 90.00 and 90.00 degrees. The inequivalent atoms are Rb at (0.000, 0.000, 0.000), Cd at (0.500, 0.500, 0.000), Sb at (0.000, 0.000, 0.500) and Cl at (0.000, 0.500, 0.500).

The calculation puts the energy at -21.296 eV per atom. For the total magnetic moment, the calculation gives 0.00 μB per cell. The uncorrected formation energy is -422 meV per atom.


(8)
Density functional theory data (SCAN) for CaHfO2 at its PBEsol-relaxed geometry.

The space group is R-3m (No. 166, hexagonal axes) and the conventional cell measures 3.4617, 3.4617 and 18.3347 Å, with angles of 90.00, 90.00 and 120.00 degrees. The inequivalent atoms are Ca at (0.0000, 0.0000, 0.0000), Hf at (0.0000, 0.0000, 0.5000) and O at (0.0000, 0.0000, 0.1220).

The calculation puts the energy at -23.917 eV per atom. The calculation puts the energy above the most stable polymorph in this dataset at 0.0 kJ/mol of formula units. For the total magnetic moment, the calculation gives 0.00 μB per cell. The uncorrected formation energy is -2717 meV per atom.


(9)
Density functional theory data (SCAN) for LiCa2Pd2 at its PBEsol-relaxed geometry.

The space group is P4/mbm (No. 127) and the conventional cell measures 7.395, 7.395 and 4.006 Å, with angles of 90.00, 90.00 and 90.00 degrees. The inequivalent atoms are Li at (0.000, 0.000, 0.000), Ca at (0.168, 0.332, 0.500) and Pd at (0.130, 0.630, 0.000).

The calculation puts the energy at -18.019 eV per atom. As for the energy of formation: -2.8 eV/f.u. The calculation puts the energy above the most stable polymorph in this dataset at 0.0 kJ/mol of formula units. For the total magnetic moment, the calculation gives 0.00 μB per cell.


(10)
Density functional theory data (SCAN) for MnPtN2O at its PBEsol-relaxed geometry.

The space group is P4/mmm (No. 123) and the conventional cell measures 3.729, 3.729 and 4.396 Å, with angles of 90.00, 90.00 and 90.00 degrees. The inequivalent atoms are Mn at (0.000, 0.000, 0.000), Pt at (0.500, 0.500, 0.500), N at (0.000, 0.500, 0.500) and O at (0.500, 0.500, 0.000).

The calculation puts the energy at -21.874 eV per atom. For the total magnetic moment, the calculation gives 4.74 μB per cell. The uncorrected formation energy is 778 meV per atom.


(11)
Density functional theory data (SCAN) for ScTa2W at its PBEsol-relaxed geometry.

The space group is R-3m (No. 166, hexagonal axes) and the conventional cell measures 2.8868, 2.8868 and 30.0300 Å, with angles of 90.00, 90.00 and 120.00 degrees. The inequivalent atoms are Sc at (0.0000, 0.0000, 0.0000), Ta at (0.0000, 0.0000, 0.2474) and W at (0.0000, 0.0000, 0.5000).

The calculation puts the energy at -53.835 eV per atom. As for the energy of formation: 1.8 eV/f.u. For the total magnetic moment, the calculation gives 0.00 μB per cell.


(12)
Density functional theory data (SCAN) for BaLi2Ca at its PBEsol-relaxed geometry.

The space group is Imm2 (No. 44) and the conventional cell measures 3.902, 5.960 and 11.907 Å, with angles of 90.00, 90.00 and 90.00 degrees. The inequivalent atoms are Ba at (0.000, 0.000, 0.000), Li at (0.000, 0.000, 0.552), Li at (0.000, 0.500, 0.235) and Ca at (0.000, 0.500, 0.795).

The calculation puts the energy at -13.445 eV per atom. As for the energy of formation: 0.2 eV/f.u. The calculation puts the energy above the most stable polymorph in this dataset at 11.6 kJ/mol of formula units. For the total magnetic moment, the calculation gives 0.51 μB per cell.


(13)
Density functional theory data (SCAN) for Fe2PRh at its PBEsol-relaxed geometry.

The space group is Imm2 (No. 44) and the conventional cell measures 2.733, 4.056 and 8.290 Å, with angles of 90.00, 90.00 and 90.00 degrees. The inequivalent atoms are Fe at (0.000, 0.000, 0.000), Fe at (0.000, 0.500, 0.215), P at (0.000, 0.500, 0.705) and Rh at (0.000, 0.000, 0.431).

The calculation puts the energy at -20.279 eV per atom. As for the energy of formation: -0.7 eV/f.u. For the total magnetic moment, the calculation gives 9.57 μB per cell.